Material: V3SnF
Method: DFT, PBE+U
State: optimized geometry

The structure belongs to space group Pm-3m (No. 221); the cell edges are 5.297, 5.297 and 5.297 Å and the angles 90.00°, 90.00° and 90.00°. The asymmetric unit holds V at (0.000, 0.000, 0.500), Sn at (0.000, 0.000, 0.000) and F at (0.500, 0.500, 0.500).

The value obtained for the total energy is -22.4 eV/cell. For the mass density, the calculation gives 3.25 Mg/m³. The magnetic moment is 10.00 μB per formula unit. The energy above the most stable polymorph in this dataset is 41.7 kJ per mole of atoms. Its crystal system is cubic.